Entry 1:
# Ca3AlRe

A relaxed structure of Ca3AlRe (PBE-GGA, the Alexandria database).

Values from the calculation:
Volume (Å³/atom): 32.60
Magnetic moment (μB per cell): 0.00
Space-group type: Pm-3m, No. 221
Offset from the most stable computed form (meV per atom): 0
DOS at the Fermi energy (states/eV per atom): 0.483
Raw total energy (eV per cell): -18.10
Calculated formation energy (eV per atom): 0.82

Cell and atoms, written as extended XYZ:
```
5
Lattice="5.4623 0.0000 0.0000 0.0000 5.4623 0.0000 0.0000 0.0000 5.4623" Properties=species:S:1:pos:R:3 pbc="T T T"
Ca 0.0000 0.0000 2.7312
Ca 0.0000 2.7312 0.0000
Ca 2.7312 0.0000 0.0000
Al 2.7312 2.7312 2.7312
Re 0.0000 0.0000 0.0000
```


Entry 2:
# Nd5SmYHo2

A relaxed structure of Nd5SmYHo2 (PBE-GGA, the Alexandria database).

Values from the calculation:
Volume (Å³/atom): 34.72
Magnetic moment (μB per cell): 0.00
Space-group type: Cmc2_1, No. 36
DOS at the Fermi energy (states/eV per atom): 1.617
Raw total energy (eV per cell): -85.69
Calculated formation energy (eV per atom): 0.15

Cell and atoms, written as extended XYZ:
```
18
Lattice="2.8379 -10.2650 0.0000 2.8379 10.2650 0.0000 0.0000 0.0000 10.7261" Properties=species:S:1:pos:R:3 pbc="T T T"
Nd 2.8379 9.9471 5.3631
Nd 2.8379 4.5255 8.4783
Nd 2.8379 4.1733 1.9900
Nd 2.8379 2.2765 5.4084
Nd 2.8379 0.3957 2.3942
Nd 2.8379 -0.3957 7.7573
Nd 2.8379 -2.2765 0.0453
Nd 2.8379 -4.1733 7.3531
Nd 2.8379 -4.5255 3.1152
Nd 2.8379 -9.9471 0.0000
Sm 2.8379 6.1468 5.2604
Sm 2.8379 -6.1468 10.6235
Y 2.8379 1.8735 10.0737
Y 2.8379 -1.8735 4.7106
Ho 2.8379 7.9704 2.3378
Ho 2.8379 7.8944 8.5111
Ho 2.8379 -7.8944 3.1480
Ho 2.8379 -7.9704 7.7009
```


Entry 3:
# Ce2Pu4Pb3

A relaxed structure of Ce2Pu4Pb3 (PBE-GGA, the Alexandria database).

Values from the calculation:
Volume (Å³/atom): 26.52
Magnetic moment (μB per cell): 0.08
Space-group type: C2/m, No. 12
DOS at the Fermi energy (states/eV per atom): 2.010
Raw total energy (eV per cell): -81.29
Calculated formation energy (eV per atom): -0.11

Cell and atoms, written as extended XYZ:
```
9
Lattice="5.6060 -2.3911 0.0000 5.6060 2.3911 0.0000 -5.1965 0.0000 8.9035" Properties=species:S:1:pos:R:3 pbc="T T T"
Ce 0.8250 0.0000 2.3363
Ce 5.1905 0.0000 6.5672
Pu -1.5238 0.0000 5.6080
Pu -2.7690 0.0000 7.7784
Pu 8.7845 0.0000 1.1250
Pu 7.5393 0.0000 3.2954
Pb 1.8258 0.0000 5.6652
Pb 5.6060 0.0000 0.0000
Pb 4.1896 0.0000 3.2383
```


Entry 4:
# BeSiTcIr

A relaxed structure of BeSiTcIr (PBE-GGA, the Alexandria database).

Values from the calculation:
Volume (Å³/atom): 12.11
Magnetic moment (μB per cell): 0.00
Space-group type: F-43m, No. 216
Energy relative to the elements, uncorrected (meV/atom): -510
DOS at the Fermi energy (states/eV per atom): 0.585
Raw total energy (eV per cell): -30.42

Cell and atoms, written as extended XYZ:
```
4
Lattice="0.0000 2.8936 2.8936 2.8936 0.0000 2.8936 2.8936 2.8936 0.0000" Properties=species:S:1:pos:R:3 pbc="T T T"
Be 0.0000 0.0000 0.0000
Si 2.8936 2.8936 2.8936
Tc 4.3404 4.3404 4.3404
Ir 1.4468 1.4468 1.4468
```


Entry 5:
# SrY2W

A relaxed structure of SrY2W (PBE-GGA, the Alexandria database).

Values from the calculation:
Volume (Å³/atom): 32.90
Magnetic moment (μB per cell): 0.00
Space-group type: Imm2, No. 44
Offset from the most stable computed form (meV per atom): 266
DOS at the Fermi energy (states/eV per atom): 1.441
Raw total energy (eV per cell): -24.76
Calculated formation energy (eV per atom): 0.70

Cell and atoms, written as extended XYZ:
```
4
Lattice="-1.6718 2.5664 7.6685 1.6718 -2.5664 7.6685 1.6718 2.5664 -7.6685" Properties=species:S:1:pos:R:3 pbc="T T T"
Sr 0.0000 0.0000 0.0000
Y 0.0000 0.0000 5.2088
Y 0.0000 2.5664 2.8640
W 1.6718 0.0000 2.8512
```


Entry 6:
# Cs6HAu2Br

A relaxed structure of Cs6HAu2Br (PBE-GGA, the Alexandria database).

Values from the calculation:
Volume (Å³/atom): 55.41
Magnetic moment (μB per cell): 1.35
Space-group type: R3, No. 146
DOS at the Fermi energy (states/eV per atom): 0.591
Raw total energy (eV per cell): -21.43

Cell and atoms, written as extended XYZ:
```
10
Lattice="4.3699 2.5230 8.3771 -4.3699 2.5230 8.3771 0.0000 -5.0459 8.3771" Properties=species:S:1:pos:R:3 pbc="T T T"
Cs -1.5252 -2.2540 8.3771
Cs -3.1732 0.1969 12.7504
Cs -1.1894 2.4478 8.3771
Cs 1.4160 -2.8465 12.7504
Cs 2.7146 -0.1938 8.3771
Cs 1.7572 2.6496 12.7504
H 0.0000 0.0000 6.4165
Au 0.0000 0.0000 1.8291
Au 0.0000 0.0000 14.4749
Br 0.0000 0.0000 19.0691
```


Entry 7:
# Pr4RhCBr2

A relaxed structure of Pr4RhCBr2 (PBE-GGA, the Alexandria database).

Values from the calculation:
Volume (Å³/atom): 27.05
Magnetic moment (μB per cell): 0.00
Space-group type: P2/m, No. 10
Energy relative to the elements, uncorrected (meV/atom): -876
DOS at the Fermi energy (states/eV per atom): 0.752
Raw total energy (eV per cell): -46.04

Cell and atoms, written as extended XYZ:
```
8
Lattice="7.1874 0.0000 0.0000 0.0000 3.9744 0.0000 -2.1700 0.0000 7.5748" Properties=species:S:1:pos:R:3 pbc="T T T"
Pr 1.1424 0.0000 1.3897
Pr -0.0170 1.9872 6.1223
Pr 5.0344 1.9872 1.4525
Pr 3.8750 0.0000 6.1851
Rh 3.5937 0.0000 0.0000
C 0.0000 1.9872 0.0000
Br -1.0850 0.0000 3.7874
Br 2.5087 1.9872 3.7874
```


Entry 8:
# GdMgIn

A relaxed structure of GdMgIn (PBE-GGA, the Alexandria database).

Values from the calculation:
Volume (Å³/atom): 29.76
Magnetic moment (μB per cell): 7.02
Space-group type: F-43m, No. 216
DOS at the Fermi energy (states/eV per atom): 0.762
Raw total energy (eV per cell): -19.04
Calculated formation energy (eV per atom): -0.21

Cell and atoms, written as extended XYZ:
```
3
Lattice="0.0000 3.5472 3.5472 3.5472 0.0000 3.5472 3.5472 3.5472 0.0000" Properties=species:S:1:pos:R:3 pbc="T T T"
Gd 0.0000 0.0000 0.0000
Mg 3.5472 3.5472 3.5472
In 5.3209 5.3209 5.3209
```


Entry 9:
# Zr2HgCl

A relaxed structure of Zr2HgCl (PBE-GGA, the Alexandria database).

Values from the calculation:
Volume (Å³/atom): 21.60
Magnetic moment (μB per cell): 0.00
Space-group type: Cmmm, No. 65
Offset from the most stable computed form (meV per atom): 255
Energy relative to the elements, uncorrected (meV/atom): -289
DOS at the Fermi energy (states/eV per atom): 0.675
Raw total energy (eV per cell): -20.40

Cell and atoms, written as extended XYZ:
```
4
Lattice="1.5908 -2.7949 0.0000 1.5908 2.7949 0.0000 0.0000 0.0000 9.7163" Properties=species:S:1:pos:R:3 pbc="T T T"
Zr 0.0000 0.0000 2.2610
Zr 0.0000 0.0000 7.4553
Hg 1.5908 0.0000 4.8581
Cl 1.5908 0.0000 0.0000
```


Entry 10:
# CaPd4Se

A relaxed structure of CaPd4Se (PBE-GGA, the Alexandria database).

Values from the calculation:
Volume (Å³/atom): 18.45
Magnetic moment (μB per cell): 0.00
Space-group type: F-43m, No. 216
Energy relative to the elements, uncorrected (meV/atom): -288
DOS at the Fermi energy (states/eV per atom): 1.275
Raw total energy (eV per cell): -27.99

Cell and atoms, written as extended XYZ:
```
6
Lattice="0.0000 3.8109 3.8109 3.8109 0.0000 3.8109 3.8109 3.8109 0.0000" Properties=species:S:1:pos:R:3 pbc="T T T"
Ca 0.0000 0.0000 0.0000
Pd 4.7638 2.8581 2.8581
Pd 2.8581 4.7638 2.8581
Pd 2.8581 2.8581 4.7638
Pd 4.7638 4.7638 4.7638
Se 1.9055 1.9055 1.9055
```


Entry 11:
# CeCoGe2Ir

A relaxed structure of CeCoGe2Ir (PBE-GGA, the Alexandria database).

Values from the calculation:
Volume (Å³/atom): 17.43
Magnetic moment (μB per cell): 0.65
Space-group type: I-4m2, No. 119
DOS at the Fermi energy (states/eV per atom): 1.074
Raw total energy (eV per cell): -34.37
Calculated formation energy (eV per atom): -0.65

Cell and atoms, written as extended XYZ:
```
5
Lattice="-2.0468 2.0468 5.1996 2.0468 -2.0468 5.1996 2.0468 2.0468 -5.1996" Properties=species:S:1:pos:R:3 pbc="T T T"
Ce 0.0000 0.0000 0.0000
Co 0.0000 2.0468 2.5998
Ge 0.0000 0.0000 3.9099
Ge 0.0000 0.0000 6.4893
Ir 2.0468 0.0000 2.5998
```


Entry 12:
# Cu2PbCl5

A relaxed structure of Cu2PbCl5 (PBE-GGA, the Alexandria database).

Values from the calculation:
Volume (Å³/atom): 27.85
Magnetic moment (μB per cell): 2.07
Space-group type: Cmcm, No. 63
Energy relative to the elements, uncorrected (meV/atom): -670
DOS at the Fermi energy (states/eV per atom): 0.295
Raw total energy (eV per cell): -52.99

Cell and atoms, written as extended XYZ:
```
16
Lattice="2.7932 -5.6661 0.0000 2.7932 5.6661 0.0000 0.0000 0.0000 14.0768" Properties=species:S:1:pos:R:3 pbc="T T T"
Cu 2.7932 4.1436 7.1780
Cu 2.7932 4.1436 13.9372
Cu 2.7932 -4.1436 0.1396
Cu 2.7932 -4.1436 6.8988
Pb 2.7932 3.1784 3.5192
Pb 2.7932 -3.1784 10.5576
Cl 2.7932 5.5966 1.7043
Cl 2.7932 5.5966 5.3341
Cl 2.7932 2.2953 10.5576
Cl 2.7932 2.0971 0.7549
Cl 2.7932 2.0971 6.2835
Cl 2.7932 -2.0971 7.7933
Cl 2.7932 -2.0971 13.3219
Cl 2.7932 -2.2953 3.5192
Cl 2.7932 -5.5966 8.7427
Cl 2.7932 -5.5966 12.3725
```